# 1
A geometry-optimized ErScMnZn structure, computed with PBE.

Properties
Energy of formation (kJ/mol of atoms): -6
Total magnetization (μB/f.u.): 2.62
Uncorrected energy (eV per formula unit): -21.593
Space-group type: F-43m (216)

```
ErScMnZn
1.0
4.834 0.000 0.000
2.417 4.186 0.000
2.417 1.395 3.947
Sc Mn Er Zn
1 1 1 1
direct
0.750 0.750 0.750 Sc
0.000 0.000 0.000 Mn
0.250 0.250 0.250 Er
0.500 0.500 0.500 Zn
```


# 2
A geometry-optimized ErMnSe2 structure, computed with PBE.

Properties
Formation energy without anion corrections (meV/atom): -752
Total magnetization (μB/f.u.): 0.00
Uncorrected energy (eV per formula unit): -23.710
Space-group type: R-3m (166)

```
ErMnSe2
1.0
-1.175 2.681 2.614
-3.769 0.168 1.080
-0.621 -2.640 5.374
Se Mn Er
2 1 1
direct
0.267 0.267 0.198 Se
0.733 0.733 0.802 Se
0.000 0.000 0.000 Mn
0.500 0.500 0.500 Er
```


# 3
A geometry-optimized ErMn2Se4 structure, computed with PBE.

Properties
Formation energy without anion corrections (meV/atom): -914
Total magnetization (μB/f.u.): 8.93
Uncorrected energy (eV per formula unit): -43.238
Space-group type: Cmcm (63)

```
ErMn2Se4
1.0
3.835 0.000 0.000
-1.918 6.274 0.000
0.000 0.000 12.668
Se Er Mn
8 2 4
direct
0.950 0.900 0.750 Se
0.050 0.100 0.250 Se
0.777 0.554 0.114 Se
0.223 0.446 0.886 Se
0.500 0.000 0.000 Se
0.500 0.000 0.500 Se
0.223 0.446 0.614 Se
0.777 0.554 0.386 Se
0.615 0.231 0.750 Er
0.385 0.769 0.250 Er
0.868 0.737 0.933 Mn
0.132 0.263 0.067 Mn
0.868 0.737 0.567 Mn
0.132 0.263 0.433 Mn
```


# 4
A geometry-optimized ErMnSe3 structure, computed with PBE.

Properties
Formation energy without anion corrections (meV/atom): -1087
Total magnetization (μB/f.u.): 3.99
Uncorrected energy (eV per formula unit): -29.620
Space-group type: P2_1/m (11)

```
ErMnSe3
1.0
-0.808 -2.565 2.836
7.162 -0.827 1.291
-0.872 5.933 5.118
Se Mn Er
6 2 2
direct
0.250 0.904 0.663 Se
0.250 0.718 0.038 Se
0.750 0.623 0.403 Se
0.750 0.282 0.962 Se
0.250 0.377 0.597 Se
0.750 0.096 0.337 Se
0.750 0.152 0.662 Mn
0.250 0.848 0.338 Mn
0.250 0.375 0.214 Er
0.750 0.625 0.786 Er
```